! V4Tc2Mo3 | the Alexandria database | GGA-PBE | relaxed; values from VASP
&SYSTEM
  ibrav = 0, nat = 18, ntyp = 3
/
ATOMIC_SPECIES
V 50.94 V.upf
Tc 98.00 Tc.upf
Mo 95.94 Mo.upf
ATOMIC_POSITIONS crystal
V 0.163 0.507 0.468
V 0.168 0.692 0.989
V 0.308 0.832 0.511
V 0.493 0.837 0.032
V 0.507 0.163 0.968
V 0.692 0.168 0.489
V 0.832 0.308 0.011
V 0.837 0.493 0.532
Tc 0.175 0.363 0.969
Tc 0.363 0.175 0.469
Tc 0.637 0.825 0.531
Tc 0.825 0.637 0.031
Mo 0.020 0.171 0.492
Mo 0.171 0.020 0.992
Mo 0.499 0.501 0.750
Mo 0.501 0.499 0.250
Mo 0.829 0.980 0.008
Mo 0.980 0.829 0.507
CELL_PARAMETERS angstrom
5.735 -4.887 0.000
5.735 4.887 0.000
-0.163 0.000 4.755
! - total magnetization (μB per cell) = 0.00
! - E (eV per atom) = -9.927
! - crystal system = monoclinic
! - D(E_F) (states/eV/cell) = 16.58

***

! V4Tc3Mo2 | the Alexandria database | GGA-PBE | relaxed; values from VASP
&SYSTEM
  ibrav = 0, nat = 9, ntyp = 3
/
ATOMIC_SPECIES
V 50.94 V.upf
Tc 98.00 Tc.upf
Mo 95.94 Mo.upf
ATOMIC_POSITIONS crystal
V 0.000 0.000 0.169
V 0.000 0.000 0.831
V 0.333 0.667 0.388
V 0.667 0.333 0.612
Tc 0.000 0.000 0.500
Tc 0.333 0.667 0.057
Tc 0.667 0.333 0.943
Mo 0.333 0.667 0.723
Mo 0.667 0.333 0.277
CELL_PARAMETERS angstrom
4.307 0.000 0.000
-2.154 3.730 0.000
0.000 0.000 7.980
! - total magnetization (μB per cell) = 0.00
! - E (eV per atom) = -10.155
! - crystal system = trigonal
! - D(E_F) (states/eV/cell) = 4.53

***

! V8TcMo2 | the Alexandria database | GGA-PBE | relaxed; values from VASP
&SYSTEM
  ibrav = 0, nat = 11, ntyp = 3
/
ATOMIC_SPECIES
V 50.94 V.upf
Tc 98.00 Tc.upf
Mo 95.94 Mo.upf
ATOMIC_POSITIONS crystal
V 0.087 0.087 0.940
V 0.165 0.666 0.534
V 0.296 0.296 0.908
V 0.334 0.835 0.466
V 0.666 0.165 0.534
V 0.704 0.704 0.092
V 0.835 0.334 0.466
V 0.913 0.913 0.060
Tc 0.500 0.500 0.000
Mo 0.245 0.245 0.356
Mo 0.755 0.755 0.644
CELL_PARAMETERS angstrom
6.793 -2.523 0.000
6.793 2.523 0.000
-0.988 0.000 4.676
! - total magnetization (μB per cell) = 0.00
! - E (eV per atom) = -9.340
! - crystal system = monoclinic
! - D(E_F) (states/eV/cell) = 13.09

***

! V4TcMo2 | the Alexandria database | GGA-PBE | relaxed; values from VASP
&SYSTEM
  ibrav = 0, nat = 7, ntyp = 3
/
ATOMIC_SPECIES
V 50.94 V.upf
Tc 98.00 Tc.upf
Mo 95.94 Mo.upf
ATOMIC_POSITIONS crystal
V 0.000 0.500 0.500
V 0.195 0.195 0.000
V 0.500 0.000 0.500
V 0.805 0.805 0.000
Tc 0.000 0.000 0.000
Mo 0.376 0.376 0.000
Mo 0.624 0.624 0.000
CELL_PARAMETERS angstrom
-2.235 2.235 6.188
2.235 -2.235 6.188
2.235 2.235 -6.188
! - energy relative to the lowest polymorph listed for this composition (meV/atom) = 899.5
! - total magnetization (μB per cell) = 1.69
! - E (eV per atom) = -8.686
! - crystal system = tetragonal
! - D(E_F) (states/eV/cell) = 9.27

***

! V7Tc2Mo2 | the Alexandria database | GGA-PBE | relaxed; values from VASP
&SYSTEM
  ibrav = 0, nat = 11, ntyp = 3
/
ATOMIC_SPECIES
V 50.94 V.upf
Tc 98.00 Tc.upf
Mo 95.94 Mo.upf
ATOMIC_POSITIONS crystal
V 0.000 0.000 0.000
V 0.092 0.092 0.451
V 0.179 0.179 0.912
V 0.362 0.362 0.817
V 0.638 0.638 0.183
V 0.821 0.821 0.088
V 0.908 0.908 0.549
Tc 0.271 0.271 0.361
Tc 0.729 0.729 0.639
Mo 0.453 0.453 0.269
Mo 0.547 0.547 0.731
CELL_PARAMETERS angstrom
6.330 -2.129 0.000
6.330 2.129 0.000
-3.406 0.000 5.715
! - total magnetization (μB per cell) = 0.00
! - E (eV per atom) = -9.880
! - crystal system = monoclinic
! - D(E_F) (states/eV/cell) = 7.47

***

! V6TcMo3 | the Alexandria database | GGA-PBE | relaxed; values from VASP
&SYSTEM
  ibrav = 0, nat = 20, ntyp = 3
/
ATOMIC_SPECIES
V 50.94 V.upf
Tc 98.00 Tc.upf
Mo 95.94 Mo.upf
ATOMIC_POSITIONS crystal
V 0.018 0.250 0.324
V 0.131 0.250 0.859
V 0.248 0.750 0.305
V 0.277 0.750 0.715
V 0.288 0.750 0.062
V 0.391 0.250 0.518
V 0.609 0.750 0.482
V 0.712 0.250 0.938
V 0.723 0.250 0.285
V 0.752 0.250 0.695
V 0.869 0.750 0.141
V 0.982 0.750 0.676
Tc 0.443 0.250 0.269
Tc 0.557 0.750 0.731
Mo 0.081 0.250 0.100
Mo 0.136 0.750 0.506
Mo 0.423 0.250 0.900
Mo 0.577 0.750 0.100
Mo 0.864 0.250 0.494
Mo 0.919 0.750 0.900
CELL_PARAMETERS angstrom
9.060 0.000 0.000
0.000 2.985 0.000
-4.487 0.000 10.930
! - energy relative to the lowest polymorph listed for this composition (meV/atom) = 332.6
! - total magnetization (μB per cell) = 0.00
! - E (eV per atom) = -9.599
! - crystal system = monoclinic
! - D(E_F) (states/eV/cell) = 18.75

***

! VTcMo4 | the Alexandria database | GGA-PBE | relaxed; values from VASP
&SYSTEM
  ibrav = 0, nat = 12, ntyp = 3
/
ATOMIC_SPECIES
V 50.94 V.upf
Tc 98.00 Tc.upf
Mo 95.94 Mo.upf
ATOMIC_POSITIONS crystal
V 0.076 0.924 0.500
V 0.924 0.076 0.000
Tc 0.364 0.636 0.683
Tc 0.636 0.364 0.183
Mo 0.065 0.935 0.996
Mo 0.208 0.792 0.854
Mo 0.211 0.789 0.352
Mo 0.365 0.635 0.177
Mo 0.635 0.365 0.677
Mo 0.789 0.211 0.852
Mo 0.792 0.208 0.354
Mo 0.935 0.065 0.496
CELL_PARAMETERS angstrom
2.223 -8.907 0.000
2.223 8.907 0.000
0.000 0.000 5.187
! - energy relative to the lowest polymorph listed for this composition (meV/atom) = 629.8
! - total magnetization (μB per cell) = 0.00
! - E (eV per atom) = -9.904
! - crystal system = orthorhombic
! - D(E_F) (states/eV/cell) = 11.72

***

! V3TcMo3 | the Alexandria database | GGA-PBE | relaxed; values from VASP
&SYSTEM
  ibrav = 0, nat = 14, ntyp = 3
/
ATOMIC_SPECIES
V 50.94 V.upf
Tc 98.00 Tc.upf
Mo 95.94 Mo.upf
ATOMIC_POSITIONS crystal
V 0.073 0.250 0.111
V 0.074 0.750 0.605
V 0.355 0.250 0.533
V 0.645 0.750 0.467
V 0.926 0.250 0.395
V 0.927 0.750 0.889
Tc 0.212 0.750 0.324
Tc 0.788 0.250 0.676
Mo 0.208 0.250 0.816
Mo 0.352 0.750 0.036
Mo 0.500 0.250 0.254
Mo 0.500 0.750 0.746
Mo 0.648 0.250 0.964
Mo 0.792 0.750 0.184
CELL_PARAMETERS angstrom
6.742 0.000 0.000
0.000 4.335 0.000
-2.853 0.000 6.994
! - total magnetization (μB per cell) = 0.00
! - E (eV per atom) = -10.216
! - crystal system = monoclinic
! - D(E_F) (states/eV/cell) = 7.30

***

! VTcMo4 | the Alexandria database | GGA-PBE | relaxed; values from VASP
&SYSTEM
  ibrav = 0, nat = 6, ntyp = 3
/
ATOMIC_SPECIES
V 50.94 V.upf
Tc 98.00 Tc.upf
Mo 95.94 Mo.upf
ATOMIC_POSITIONS crystal
V 0.000 0.000 0.000
Tc 0.000 0.000 0.500
Mo 0.333 0.333 0.670
Mo 0.335 0.335 0.165
Mo 0.665 0.665 0.835
Mo 0.667 0.667 0.330
CELL_PARAMETERS angstrom
4.935 -1.563 0.000
4.935 1.563 0.000
-1.978 0.000 5.930
! - energy relative to the lowest polymorph listed for this composition (meV/atom) = 0.0
! - total magnetization (μB per cell) = 0.00
! - E (eV per atom) = -10.533
! - crystal system = monoclinic
! - D(E_F) (states/eV/cell) = 3.95

***

! VTcMoW2 | the Alexandria database | GGA-PBE | relaxed; values from VASP
&SYSTEM
  ibrav = 0, nat = 10, ntyp = 4
/
ATOMIC_SPECIES
V 50.94 V.upf
Tc 98.00 Tc.upf
Mo 95.94 Mo.upf
W 183.84 W.upf
ATOMIC_POSITIONS crystal
V 0.146 0.250 0.450
V 0.854 0.750 0.550
Tc 0.049 0.750 0.160
Tc 0.951 0.250 0.840
Mo 0.346 0.250 0.048
Mo 0.654 0.750 0.952
W 0.247 0.750 0.747
W 0.445 0.750 0.351
W 0.555 0.250 0.649
W 0.753 0.250 0.253
CELL_PARAMETERS angstrom
6.990 0.000 0.000
0.000 3.121 0.000
-0.024 0.000 6.994
! - total magnetization (μB per cell) = 0.00
! - E (eV per atom) = -11.310
! - crystal system = monoclinic
! - D(E_F) (states/eV/cell) = 6.92

***

! VZnTcMo | the Alexandria database | GGA-PBE | relaxed; values from VASP
&SYSTEM
  ibrav = 0, nat = 4, ntyp = 4
/
ATOMIC_SPECIES
V 50.94 V.upf
Zn 65.41 Zn.upf
Tc 98.00 Tc.upf
Mo 95.94 Mo.upf
ATOMIC_POSITIONS crystal
V 0.000 0.000 0.000
Zn 0.250 0.250 0.250
Tc 0.500 0.500 0.500
Mo 0.750 0.750 0.750
CELL_PARAMETERS angstrom
0.000 3.079 3.079
3.079 0.000 3.079
3.079 3.079 0.000
! - total magnetization (μB per cell) = 1.51
! - E (eV per atom) = -7.847
! - crystal system = cubic
! - D(E_F) (states/eV/cell) = 3.56

***

! TcMo4W | the Alexandria database | GGA-PBE | relaxed; values from VASP
&SYSTEM
  ibrav = 0, nat = 6, ntyp = 3
/
ATOMIC_SPECIES
Tc 98.00 Tc.upf
Mo 95.94 Mo.upf
W 183.84 W.upf
ATOMIC_POSITIONS crystal
Tc 0.000 0.000 0.000
Mo 0.164 0.836 0.500
Mo 0.330 0.330 0.000
Mo 0.670 0.670 0.000
Mo 0.836 0.164 0.500
W 0.500 0.500 0.500
CELL_PARAMETERS angstrom
3.518 -3.566 0.000
3.518 3.566 0.000
0.000 0.000 4.764
! - energy relative to the lowest polymorph listed for this composition (meV/atom) = 1565.0
! - total magnetization (μB per cell) = 0.00
! - E (eV per atom) = -9.520
! - crystal system = orthorhombic
! - D(E_F) (states/eV/cell) = 5.72

***

Q: Look up the E of the seventh one.
A: -9.904 eV per atom